Material: AuC3
Method: DFT, PBE-GGA
State: optimized geometry

a b c (Å): 5.5807 5.5807 5.5807
angles (deg): 145.64 109.69 80.65
With the nearest neighbours (Å) after each atom.
Element x y z (fractional)
1 Au 0.0000 0.0000 0.0000  2 C 1.93
2 C 0.3001 0.0000 0.3001  1 C 1.28
3 C 0.5000 0.0000 0.5000  2 C 1.28
4 C 0.6999 0.0000 0.6999  1 C 1.28

Values from the calculation:
**V**: 22.54 A^3/atom
**Crystal system**: orthorhombic
**Formation enthalpy at 0 K**: 1.370 eV/atom
**Relative energy among the computed polymorphs**: 0.510 eV/atom
**D(E_F)**: 1.56 states/eV/cell
**Total DFT energy (no corrections)**: -0.23398 Ha/atom
**SG**: Immm (71)